# Pr3Nd4Ho2

A relaxed Pr3Nd4Ho2 crystal (PBE, Alexandria via LeMat-Bulk).

Geometry as CIF:
```
data_Pr3Nd4Ho2
_chemical_formula_sum 'Pr3 Nd4 Ho2'
_cell_length_a 6.326
_cell_length_b 6.335
_cell_length_c 13.181
_cell_angle_alpha 118.58
_cell_angle_beta 103.96
_cell_angle_gamma 120.00
_symmetry_space_group_name_H-M 'P 1'
_symmetry_Int_Tables_number 1
loop_
_symmetry_equiv_pos_as_xyz
'x,y,z'
loop_
_atom_site_label
_atom_site_type_symbol
_atom_site_fract_x
_atom_site_fract_y
_atom_site_fract_z
Pr1 Pr 0.553 0.109 0.665
Pr2 Pr 0.447 0.891 0.335
Pr3 Pr 0.000 0.000 0.000
Ho1 Ho 0.780 0.559 0.335
Ho2 Ho 0.220 0.441 0.665
Nd1 Nd 0.110 0.221 0.334
Nd2 Nd 0.890 0.779 0.666
Nd3 Nd 0.335 0.669 0.000
Nd4 Nd 0.665 0.331 0.000
```

Values from the calculation:
Symmetry ... P-1, No. 2
Relative energy among the computed polymorphs ... 0.0000 eV/atom
DOS at the Fermi energy ... 13.309 states/eV/f.u.
Formation energy ... 15 meV per atom


# Ta2MoW

A relaxed Ta2MoW crystal (PBE, Alexandria via LeMat-Bulk).

Geometry as CIF:
```
data_Ta2MoW
_chemical_formula_sum 'Ta2 Mo1 W1'
_cell_length_a 2.835
_cell_length_b 2.835
_cell_length_c 9.003
_cell_angle_alpha 90.00
_cell_angle_beta 90.00
_cell_angle_gamma 110.02
_symmetry_space_group_name_H-M 'P 1'
_symmetry_Int_Tables_number 1
loop_
_symmetry_equiv_pos_as_xyz
'x,y,z'
loop_
_atom_site_label
_atom_site_type_symbol
_atom_site_fract_x
_atom_site_fract_y
_atom_site_fract_z
Mo1 Mo 0.500 0.500 0.750
W1 W 0.500 0.500 0.250
Ta1 Ta 0.000 0.000 0.998
Ta2 Ta 0.000 0.000 0.502
```

Values from the calculation:
Symmetry ... Cmmm, No. 65
DOS at the Fermi energy ... 4.571 states/eV/f.u.
Formation energy ... -78 meV per atom


no.,E (eV per cell)
1,-42.431
2,-47.802